# Ac12Sb5S3, relaxed, DFT GGA-PBE
# - Density of states at the Fermi level: 0.9770 states/eV per atom
# - Raw total energy: -4.634 eV per atom
# - Total moment: 40.98 μB per cell
# - V: 3459 Å³/cell
# - Uncorrected formation energy: -10.39 eV per formula unit
data_Ac12Sb5S3
_chemical_formula_sum 'Ac48 Sb20 S12'
_cell_length_a 16.5008
_cell_length_b 16.5008
_cell_length_c 16.5008
_cell_angle_alpha 109.47
_cell_angle_beta 109.47
_cell_angle_gamma 109.47
_symmetry_space_group_name_H-M 'P 1'
_symmetry_Int_Tables_number 1
_symmetry_space_group_name_Hall 'P 1'
loop_
_atom_site_label
_atom_site_fract_x
_atom_site_fract_y
_atom_site_fract_z
Ac1 0.6699 0.2328 0.6127
Ac2 0.1127 0.1699 0.2328
Sb1 0.5000 0.5000 0.0000
Ac3 0.0629 0.6201 0.7328
S1 0.2500 0.6250 0.8750
Ac4 0.1699 0.0572 0.9371
Sb2 0.7500 0.6250 0.3750
S2 0.2500 0.1250 0.3750
Ac5 0.1127 0.9428 0.3799
Ac6 0.6127 0.7328 0.6699
Ac7 0.2672 0.3873 0.8301
Ac8 0.7328 0.6127 0.1699
Ac9 0.9371 0.3799 0.2672
Sb3 0.8750 0.2500 0.6250
Sb4 0.0000 0.0000 0.5000
Sb5 0.1250 0.3750 0.2500
Sb6 0.6250 0.8750 0.2500
Ac10 0.2328 0.6699 0.1127
S3 0.3750 0.7500 0.6250
Ac11 0.6127 0.8799 0.4428
Sb7 0.5000 0.0000 0.5000
Ac12 0.0629 0.4428 0.8301
Ac13 0.1699 0.1127 0.7328
Ac14 0.4428 0.3799 0.6127
S4 0.1250 0.2500 0.8750
S5 0.6250 0.2500 0.3750
Sb8 0.1250 0.7500 0.3750
Ac15 0.6201 0.5572 0.8873
Ac16 0.7672 0.3301 0.8873
S6 0.1250 0.8750 0.7500
Ac17 0.5572 0.6201 0.3873
Ac18 0.8301 0.9428 0.0629
Ac19 0.3799 0.4428 0.1127
Sb9 0.7500 0.1250 0.8750
Ac20 0.9371 0.5572 0.1699
Ac21 0.5629 0.2328 0.1201
S7 0.7500 0.8750 0.6250
Ac22 0.9428 0.8301 0.5629
Ac23 0.3799 0.9371 0.7672
S8 0.8750 0.7500 0.1250
Sb10 0.5000 0.0000 0.0000
Ac24 0.4371 0.7672 0.8799
Ac25 0.6699 0.4371 0.5572
Ac26 0.2672 0.8799 0.9371
Ac27 0.7672 0.4371 0.3799
Ac28 0.3301 0.7672 0.3873
Sb11 0.8750 0.6250 0.7500
Ac29 0.2328 0.5629 0.6201
Sb12 0.0000 0.5000 0.0000
S9 0.8750 0.1250 0.2500
S10 0.7500 0.3750 0.1250
S11 0.6250 0.3750 0.7500
Sb13 0.3750 0.2500 0.1250
Sb14 0.2500 0.3750 0.6250
Ac30 0.3873 0.2672 0.3301
Ac31 0.8799 0.6127 0.9428
Ac32 0.5572 0.9371 0.6699
Ac33 0.4371 0.6699 0.0572
Sb15 0.5000 0.5000 0.5000
Sb16 0.0000 0.0000 0.0000
Sb17 0.2500 0.8750 0.1250
Ac34 0.8799 0.2672 0.4371
Ac35 0.1201 0.7328 0.5629
Ac36 0.7328 0.1201 0.0629
Ac37 0.6201 0.0629 0.2328
Ac38 0.8873 0.0572 0.6201
Sb18 0.3750 0.1250 0.7500
Ac39 0.0572 0.1699 0.4371
Ac40 0.5629 0.3301 0.9428
Ac41 0.0572 0.8873 0.1201
Sb19 0.0000 0.5000 0.5000
S12 0.3750 0.6250 0.2500
Ac42 0.4428 0.0629 0.3301
Ac43 0.8873 0.8301 0.7672
Sb20 0.6250 0.7500 0.8750
Ac44 0.3301 0.5629 0.4428
Ac45 0.9428 0.1127 0.8799
Ac46 0.8301 0.8873 0.2672
Ac47 0.1201 0.3873 0.0572
Ac48 0.3873 0.1201 0.5572